Computed, not measured: CsTl2Sn after structural relaxation at the PBE level of DFT.

## Properties
The energy of formation is 58.8 meV per atom. Its space group is I-42d. The spin magnetization comes out at 0.000 μB per formula unit. As for the excess energy over the best structure of this formula in the dataset: 0.166 eV/atom. Its volume is 383 Å³/cell. As for the total energy: -2.3385 eV per atom.

The structure in POSCAR format:
```
CsTl2Sn
1.0
-3.0301 3.0301 10.4323
3.0301 -3.0301 10.4323
3.0301 3.0301 -10.4323
Cs Tl Sn
2 4 2
Direct
0.0000 0.0000 0.0000
0.7500 0.2500 0.5000
0.2974 0.6250 0.1724
0.3750 0.5474 0.6724
0.4526 0.1250 0.8276
0.8750 0.7026 0.3276
0.2500 0.7500 0.5000
0.5000 0.5000 0.0000
```

***

Computed, not measured: CsTl3Sn after structural relaxation at the PBE level of DFT.

## Properties
The energy of formation is 909.4 meV per atom. Its space group is Pm-3m. The spin magnetization comes out at 0.000 μB per formula unit. As for the excess energy over the best structure of this formula in the dataset: 1.013 eV/atom. Its volume is 258 Å³/cell. As for the total energy: -1.4816 eV per atom.

The structure in POSCAR format:
```
CsTl3Sn
1.0
6.3650 0.0000 0.0000
0.0000 6.3650 0.0000
0.0000 0.0000 6.3650
Cs Tl Sn
1 3 1
Direct
0.0000 0.0000 0.0000
0.0000 0.0000 0.5000
0.0000 0.5000 0.0000
0.5000 0.0000 0.0000
0.5000 0.5000 0.5000
```

***

Computed, not measured: CsTl2Sn after structural relaxation at the PBE level of DFT.

## Properties
The energy of formation is -84.4 meV per atom. Its space group is P2_1/c. The spin magnetization comes out at 0.000 μB per formula unit. As for the excess energy over the best structure of this formula in the dataset: 0.023 eV/atom. Its volume is 621 Å³/cell. As for the total energy: -2.4816 eV per atom.

The structure in POSCAR format:
```
CsTl2Sn
1.0
7.5633 0.0000 0.0000
0.0000 9.8904 0.0000
-6.4382 0.0000 8.3022
Cs Tl Sn
4 8 4
Direct
0.1314 0.0238 0.2373
0.1314 0.4762 0.7373
0.8686 0.5238 0.2627
0.8686 0.9762 0.7627
0.2708 0.1207 0.6535
0.2708 0.3793 0.1535
0.4974 0.6623 0.4665
0.4974 0.8377 0.9665
0.5026 0.1623 0.0335
0.5026 0.3377 0.5335
0.7292 0.6207 0.8465
0.7292 0.8793 0.3465
0.2553 0.6894 0.1021
0.2553 0.8106 0.6021
0.7447 0.1894 0.3979
0.7447 0.3106 0.8979
```

***

> Among the records above, which one has the lowest energy of formation?

number 3

***

> volume of number 2 (CsTl3Sn)?

258 Å³/cell

***

> Which of these has the lowest volume?

CsTl3Sn

***

> Among the records above, which one has the lowest volume?

CsTl3Sn